A relaxed Dy3Bi2P crystal, computed with PBE. Values from VASP.

Final energy: -5.6310 eV/atom

Quantum ESPRESSO input file:
```
&SYSTEM
  ibrav = 0, nat = 6, ntyp = 3
/
ATOMIC_SPECIES
Dy 162.50 Dy.upf
Bi 208.98 Bi.upf
P 30.97 P.upf
CELL_PARAMETERS angstrom
4.262 0.000 0.000
-2.131 3.691 0.000
0.000 0.000 10.792
ATOMIC_POSITIONS crystal
Dy 0.000 0.000 0.000
Dy 0.333 0.667 0.639
Dy 0.667 0.333 0.361
Bi 0.333 0.667 0.178
Bi 0.667 0.333 0.822
P 0.000 0.000 0.500
```